(1)
A relaxed Cd4In5Sn2 crystal. Source: the Alexandria database, functional PBE. Values from VASP.

Output
Calculated formation energy, eV/atom: 0.0685

```
&SYSTEM
  ibrav = 0, nat = 11, ntyp = 3
/
ATOMIC_SPECIES
Cd 112.41 Cd.upf
In 114.82 In.upf
Sn 118.71 Sn.upf
ATOMIC_POSITIONS angstrom
Cd 0.763 0.000 2.509
Cd 7.223 0.000 2.320
Cd 19.678 0.000 4.437
Cd 26.138 0.000 4.248
In 3.756 0.000 2.598
In 4.374 0.000 6.670
In 13.921 0.000 0.000
In 22.527 0.000 0.086
In 23.146 0.000 4.159
Sn 1.577 0.000 5.388
Sn 25.324 0.000 1.368
CELL_PARAMETERS angstrom
13.921 -1.586 0.000
13.921 1.586 0.000
-0.941 0.000 6.757
```



(2)
A relaxed CaNbTeI2 crystal. Source: the Alexandria database, functional PBE. Values from VASP.

Output
Relative energy among the computed polymorphs, meV/atom: 0.0
Formation energy (no corrections), eV/atom: -0.25

```
&SYSTEM
  ibrav = 0, nat = 5, ntyp = 4
/
ATOMIC_SPECIES
Ca 40.08 Ca.upf
Nb 92.91 Nb.upf
Te 127.60 Te.upf
I 126.90 I.upf
ATOMIC_POSITIONS angstrom
Ca 0.000 0.000 0.000
Nb 2.849 2.849 2.794
Te 2.849 2.849 0.000
I 0.000 2.849 2.794
I 2.849 0.000 2.794
CELL_PARAMETERS angstrom
5.697 0.000 0.000
0.000 5.697 0.000
0.000 0.000 5.588
```



(3)
A relaxed Sr3Be2TlO6 crystal. Source: the Alexandria database, functional PBE. Values from VASP.

Output
Formation energy (no corrections), eV/atom: -2.16

```
&SYSTEM
  ibrav = 0, nat = 12, ntyp = 4
/
ATOMIC_SPECIES
Sr 87.62 Sr.upf
Be 9.01 Be.upf
Tl 204.38 Tl.upf
O 16.00 O.upf
ATOMIC_POSITIONS angstrom
Sr 0.000 0.000 0.000
Sr 0.000 3.281 4.957
Sr 2.842 1.641 1.941
Be 0.000 3.281 1.733
Be 2.842 1.641 5.165
Tl 0.000 0.000 3.449
O 0.000 1.751 1.751
O -1.326 4.047 1.751
O 1.516 0.875 5.147
O 1.326 4.047 1.751
O 4.167 0.875 5.147
O 2.842 3.171 5.147
CELL_PARAMETERS angstrom
5.683 0.000 0.000
-2.842 4.922 0.000
0.000 0.000 6.898
```



Q: Which M_tot values were calculated for the entries above? A: 0.00; 2.78; 0.00, in μB per cell.